# 1
Computed, not measured: a relaxed Dy5HgS4 crystal at the PBE-GGA level of DFT.

a b c (Å): 13.3198 3.9198 9.9336
angles (deg): 90.00 120.19 90.00
Last column: nearest neighbours and their distance in Å.
Space group C2/m (No. 12)
Inequivalent atoms, fractional coordinates:
Dy (0.0000, 0.0000, 0.0000) [2 per cell]  6 S 2.79
Dy (0.1119, 0.5000, 0.3920) [4 per cell]  4 S 2.74-2.87, 2 Hg 2.97
Dy (0.2034, 0.0000, 0.8116) [4 per cell]  5 S 2.74-2.81, 1 Hg 2.91
Hg (0.0000, 0.0000, 0.5000) [2 per cell]  6 Dy 2.91-2.97
S (0.0978, 0.5000, 0.9019) [4 per cell]  6 Dy 2.74-2.85
S (0.2021, 0.0000, 0.2904) [4 per cell]  6 Dy 2.74-2.87

Properties
* uncorrected formation energy: -1.65 eV/atom
* volume: 448.29 Å³/cell

# 2
Computed, not measured: a relaxed LiB3Ir3 crystal at the PBE-GGA level of DFT.

a b c (Å): 5.8212 5.8212 5.8212
angles (deg): 90.00 90.00 90.00
Last column: nearest neighbours and their distance in Å.
Space group Pm-3n (No. 223)
Inequivalent atoms, fractional coordinates:
Li (0.0000, 0.0000, 0.0000) [2 per cell]  12 B 3.25, 12 Ir 3.25
B (0.0000, 0.2500, 0.5000) [6 per cell]  4 Ir 2.06
Ir (0.0000, 0.5000, 0.2500) [6 per cell]  4 B 2.06

Properties
* energy relative to the elements: -0.10 eV/atom
* volume: 197.26 Å³/cell

# 3
Computed, not measured: a relaxed Nd4In2Ni crystal at the PBE-GGA level of DFT.

a b c (Å): 5.2056 5.2056 16.3597
angles (deg): 90.00 90.00 90.00
Last column: nearest neighbours and their distance in Å.
Space group I4/mmm (No. 139)
Inequivalent atoms, fractional coordinates:
Nd (0.0000, 0.0000, 0.1791) [4 per cell]  1 Ni 2.93, 1 In 3.13
Nd (0.0000, 0.5000, 0.0000) [4 per cell]  2 Ni 2.60
In (0.0000, 0.0000, 0.3705) [4 per cell]  5 Nd 3.13-3.36
Ni (0.0000, 0.0000, 0.0000) [2 per cell]  4 Nd 2.60

Properties
* energy relative to the elements: -0.20 eV/atom
* volume: 443.33 Å³/cell

Copy entry 3 word for word.
Computed, not measured: a relaxed Nd4In2Ni crystal at the PBE-GGA level of DFT.

a b c (Å): 5.2056 5.2056 16.3597
angles (deg): 90.00 90.00 90.00
Last column: nearest neighbours and their distance in Å.
Space group I4/mmm (No. 139)
Inequivalent atoms, fractional coordinates:
Nd (0.0000, 0.0000, 0.1791) [4 per cell]  1 Ni 2.93, 1 In 3.13
Nd (0.0000, 0.5000, 0.0000) [4 per cell]  2 Ni 2.60
In (0.0000, 0.0000, 0.3705) [4 per cell]  5 Nd 3.13-3.36
Ni (0.0000, 0.0000, 0.0000) [2 per cell]  4 Nd 2.60

Properties
* energy relative to the elements: -0.20 eV/atom
* volume: 443.33 Å³/cell